A plane-wave DFT calculation with PBE-GGA was carried out for a relaxed NdGaSnPt crystal.

```
data_NdGaSnPt
_symmetry_space_group_name_H-M 'F -4 3 m'
_symmetry_Int_Tables_number 216
_symmetry_space_group_name_Hall 'F -4 2 3'
_cell_length_a 7.050
_cell_length_b 7.050
_cell_length_c 7.050
_cell_angle_alpha 90.00
_cell_angle_beta 90.00
_cell_angle_gamma 90.00
loop_
_atom_site_label
_atom_site_fract_x
_atom_site_fract_y
_atom_site_fract_z
_atom_site_occupancy
Nd1 0.000 0.000 0.000 1
Ga1 0.250 0.250 0.750 1
Sn1 0.000 0.000 0.500 1
Pt1 0.250 0.250 0.250 1
```

Calculated values
final energy: -5.123 eV per atom
calculated volume: 21.900 Å³ per atom
energy relative to the elements: -0.6635 eV per atom
Fermi-level density of states: 4.86 states/eV/cell